# 1
BH | PBE | optimized geometry

Cell lengths 4.265, 4.265, 4.265 Å; angles 90.00, 90.00, 90.00 degrees
Fractional coordinates of all 12 atoms:
H 0.000 0.500 0.250
H 0.000 0.500 0.750
H 0.500 0.250 0.000
H 0.250 0.000 0.500
H 0.500 0.750 0.000
H 0.750 0.000 0.500
B 0.000 0.750 0.500
B 0.500 0.000 0.250
B 0.500 0.000 0.750
B 0.750 0.500 0.000
B 0.250 0.500 0.000
B 0.000 0.250 0.500

- Space group: Pm-3n

=====

# 2
BH | PBE | optimized geometry

Cell lengths 1.876, 5.343, 11.077 Å; angles 90.00, 90.00, 90.00 degrees
Fractional coordinates of all 12 atoms:
B 0.500 0.368 0.000
B 0.000 0.632 0.500
B 0.000 0.036 0.082
B 0.500 0.964 0.418
B 0.500 0.964 0.582
B 0.000 0.036 0.918
H 0.000 0.552 0.000
H 0.000 0.679 0.612
H 0.000 0.679 0.388
H 0.500 0.448 0.500
H 0.500 0.321 0.888
H 0.500 0.321 0.112

- Space group: Pmmn

=====

# 3
BH | PBE | optimized geometry

Cell lengths 3.579, 3.579, 3.579 Å; angles 90.00, 90.00, 90.00 degrees
Fractional coordinates of all 8 atoms:
B 0.500 0.000 0.500
B 0.000 0.500 0.500
B 0.500 0.500 0.000
B 0.000 0.000 0.000
H 0.750 0.750 0.250
H 0.250 0.250 0.250
H 0.250 0.750 0.750
H 0.750 0.250 0.750

- Space group: F-43m

=====

# 4
BH | PBE | optimized geometry

Cell lengths 7.049, 7.049, 3.087 Å; angles 90.00, 90.00, 90.00 degrees
Fractional coordinates of all 16 atoms:
B 0.500 0.869 0.000
B 0.500 0.235 0.500
B 0.235 0.500 0.500
B 0.500 0.131 0.000
B 0.869 0.500 0.000
B 0.500 0.765 0.500
B 0.131 0.500 0.000
B 0.765 0.500 0.500
H 0.647 0.647 0.500
H 0.647 0.353 0.500
H 0.000 0.363 0.000
H 0.637 0.000 0.000
H 0.363 0.000 0.000
H 0.000 0.637 0.000
H 0.353 0.647 0.500
H 0.353 0.353 0.500

- Space group: P4/mmm

=====

# 5
BH | PBE | optimized geometry

Cell lengths 2.030, 2.987, 4.941 Å; angles 90.00, 92.54, 90.00 degrees
Fractional coordinates of all 4 atoms:
B 0.009 0.250 0.083
B 0.991 0.750 0.917
H 0.470 0.750 0.725
H 0.530 0.250 0.275

- Space group: P2_1/m

=====

# 6
BH | PBE | optimized geometry

Cell lengths 2.062, 8.821, 5.554 Å; angles 90.00, 90.00, 90.00 degrees
Fractional coordinates of all 12 atoms:
H 0.500 0.347 0.768
H 0.000 0.500 0.367
H 0.500 0.153 0.268
H 0.000 0.000 0.867
H 0.500 0.847 0.268
H 0.500 0.653 0.768
B 0.500 0.888 0.471
B 0.500 0.112 0.471
B 0.000 0.000 0.652
B 0.500 0.612 0.971
B 0.500 0.388 0.971
B 0.000 0.500 0.152

- Space group: Amm2

=====

# 7
BH | PBE | optimized geometry

Cell lengths 1.961, 1.961, 2.774 Å; angles 90.00, 90.00, 120.00 degrees
Fractional coordinates of all 2 atoms:
H 0.000 0.000 0.000
B 0.000 0.000 0.500

- Space group: P6/mmm

=====

# 8
BH | PBE | optimized geometry

Cell lengths 3.029, 3.042, 4.073 Å; angles 79.54, 68.20, 60.15 degrees
Fractional coordinates of all 4 atoms:
B 0.672 0.655 0.000
B 0.328 0.345 0.000
H 0.628 0.998 0.744
H 0.372 0.002 0.256

- Space group: C2/m

=====

# 9
BH | PBE | optimized geometry

Cell lengths 3.413, 3.413, 3.413 Å; angles 90.00, 90.00, 90.00 degrees
Fractional coordinates of all 8 atoms:
B 0.500 0.500 0.500
B 0.000 0.500 0.000
B 0.500 0.000 0.000
B 0.000 0.000 0.500
H 0.500 0.500 0.000
H 0.000 0.500 0.500
H 0.500 0.000 0.500
H 0.000 0.000 0.000

- Space group: Fm-3m

=====

# 10
HfBH3 | PBE | optimized geometry

Cell lengths 3.115, 5.422, 5.470 Å; angles 74.67, 90.00, 90.00 degrees
Fractional coordinates of all 10 atoms:
H 0.272 0.874 0.680
H 0.272 0.173 0.297
H 0.772 0.541 0.403
H 0.772 0.981 0.125
H 0.272 0.614 0.018
H 0.772 0.280 0.742
B 0.272 0.631 0.752
B 0.772 0.523 0.670
Hf 0.772 0.359 0.103
Hf 0.272 0.795 0.319

- Space group: P2_1/m

=====

# 11
HfBH | PBE | optimized geometry

Cell lengths 19.899, 6.629, 6.629 Å; angles 152.18, 164.05, 15.95 degrees
Fractional coordinates of all 6 atoms:
H 0.196 0.912 0.088
H 0.804 0.088 0.912
Hf 0.092 0.229 0.771
Hf 0.908 0.771 0.229
B 0.336 0.494 0.506
B 0.664 0.506 0.494

- Space group: C2/m

=====

# 12
Hf3BH | PBE | optimized geometry

Cell lengths 4.178, 4.178, 4.178 Å; angles 90.00, 90.00, 90.00 degrees
Fractional coordinates of all 5 atoms:
H 0.000 0.000 0.000
Hf 0.000 0.500 0.000
Hf 0.000 0.000 0.500
Hf 0.500 0.000 0.000
B 0.500 0.500 0.500

- Space group: Pm-3m

=====

Number 1: offset from the most stable computed form 1668.1 meV/atom, calculated volume 77.57 Å³ per cell. Number 2: offset from the most stable computed form 993.6 meV/atom, calculated volume 111.02 Å³ per cell. Number 3: offset from the most stable computed form 1667.4 meV/atom, calculated volume 45.85 Å³ per cell. Number 4: offset from the most stable computed form 285.1 meV/atom, calculated volume 153.36 Å³ per cell. Number 5: offset from the most stable computed form 419.4 meV/atom, calculated volume 29.94 Å³ per cell. Number 6: offset from the most stable computed form 374.0 meV/atom, calculated volume 101.00 Å³ per cell. Number 7: offset from the most stable computed form 589.6 meV/atom, calculated volume 9.24 Å³ per cell. Number 8: offset from the most stable computed form 196.9 meV/atom, calculated volume 30.22 Å³ per cell. Number 9: offset from the most stable computed form 1723.7 meV/atom, calculated volume 39.77 Å³ per cell. Number 10: offset from the most stable computed form 0.0 meV/atom, calculated volume 89.12 Å³ per cell. Number 11: offset from the most stable computed form 0.0 meV/atom, calculated volume 55.93 Å³ per cell. Number 12: offset from the most stable computed form 0.0 meV/atom, calculated volume 72.91 Å³ per cell.